Dy2Y4N: optimized geometry, PBE.

Values from the calculation:
DOS at the Fermi energy: 8.4 states/eV/cell
Mass density: 5.7 g/cm3
Energy relative to the elements, uncorrected: -0.2500 eV per atom
Crystal system: tetragonal

Unit cell a=4.7858 b=4.7858 c=9.4905 alpha=75.40 beta=75.40 gamma=90.00
Fractional coordinates of all 7 atoms:
Dy: 0.3301 0.3301 0.3399
Dy: 0.6699 0.6699 0.6601
Y: 0.5000 0.0000 0.0000
Y: 0.8668 0.8668 0.2664
Y: 0.0000 0.5000 0.0000
Y: 0.1332 0.1332 0.7336
N: 0.0000 0.0000 0.0000

=====

NaLiTaO4: optimized geometry, PBE.

Values from the calculation:
DOS at the Fermi energy: 0.0 states/eV/cell
Mass density: 5.0 g/cm3
Energy relative to the elements, uncorrected: -2.0896 eV per atom
Crystal system: monoclinic

Unit cell a=5.7357 b=5.5671 c=6.8567 alpha=90.00 beta=122.93 gamma=90.00
Each line ends with the local moment (μB).
Fractional coordinates of all 14 atoms:
Na: 0.4378 0.2500 0.0875  0.01
Na: 0.5622 0.7500 0.9125  0.01
O: 0.0644 0.4853 0.7043  0.01
O: 0.5852 0.7500 0.5836  0.40
O: 0.5302 0.2500 0.7892  0.43
O: 0.9356 0.5147 0.2957  0.01
O: 0.4698 0.7500 0.2108  0.43
O: 0.0644 0.0147 0.7043  0.01
O: 0.4148 0.2500 0.4164  0.40
O: 0.9356 0.9853 0.2957  0.01
Ta: 0.8470 0.7500 0.4917  -0.04
Ta: 0.1530 0.2500 0.5083  -0.04
Li: 0.1962 0.7500 0.2857  0.00
Li: 0.8038 0.2500 0.7143  0.00

=====

Ce6Tl2Ge: optimized geometry, PBE.

Values from the calculation:
DOS at the Fermi energy: 25.9 states/eV/cell
Energy relative to the lowest polymorph listed for this composition: 1.48 kcal/mol of atoms
Energy relative to the elements: -0.188 eV/atom
Mass density: 8.9 g/cm3
Crystal system: monoclinic

Unit cell a=5.0097 b=5.7782 c=9.4149 alpha=88.81 beta=90.00 gamma=115.69
Each line ends with the local moment (μB).
Fractional coordinates of all 9 atoms:
Tl: 0.6372 0.2743 0.9497  -0.01
Tl: 0.3628 0.7257 0.0503  -0.01
Ge: 0.0000 0.0000 0.5000  -0.02
Ce: 0.1951 0.3903 0.7424  0.64
Ce: 0.8049 0.6097 0.2576  0.64
Ce: 0.9399 0.8798 0.8143  0.60
Ce: 0.3481 0.6962 0.4075  0.70
Ce: 0.0601 0.1202 0.1857  0.60
Ce: 0.6519 0.3038 0.5925  0.70

=====

The lowest DOS at the Fermi energy belongs to which entry?
NaLiTaO4

=====

Which of these has the lowest DOS at the Fermi energy?
NaLiTaO4

=====

The highest DOS at the Fermi energy belongs to which entry?
Ce6Tl2Ge